(1)
Compound: Rh2BrCl
Source: the Alexandria database
Functional: PBE
Structure: optimized geometry

Cell lengths 3.0325, 5.7094, 8.1974 Å; angles 90.00, 90.00, 90.00 degrees
Space group Immm (No. 71)
One atom of each set of equivalent atoms:
Rh1 0.0000 0.0000 0.2447 [4 per cell]
Br1 0.0000 0.5000 0.0000 [2 per cell]
Cl1 0.0000 0.5000 0.5000 [2 per cell]

E_tot: -4.057 eV/atom
V: 17.7 Å³ per atom
Crystal system: orthorhombic
Magnetization: 0.01 μB per cell
ΔE to the lowest computed polymorph: 2.12 eV/f.u.

***

(2)
Compound: Rh2BrCl
Source: the Alexandria database
Functional: PBE
Structure: optimized geometry

Cell lengths 2.9135, 5.5126, 9.6667 Å; angles 90.00, 90.00, 90.00 degrees
Space group Cmm2 (No. 35)
One atom of each set of equivalent atoms:
Rh1 0.0000 0.0000 0.0000 [2 per cell]
Rh2 0.0000 0.5000 0.2272 [2 per cell]
Br1 0.0000 0.0000 0.4470 [2 per cell]
Cl1 0.0000 0.5000 0.8050 [2 per cell]

E_tot: -4.172 eV/atom
V: 19.4 Å³ per atom
Crystal system: orthorhombic
Magnetization: 0.00 μB per cell
ΔE to the lowest computed polymorph: 1.67 eV/f.u.

***

(3)
Compound: Rh2BrCl
Source: the Alexandria database
Functional: PBE
Structure: optimized geometry

Cell lengths 3.8652, 4.8390, 8.1630 Å; angles 90.00, 90.00, 90.00 degrees
Space group Amm2 (No. 38)
One atom of each set of equivalent atoms:
Rh1 0.0000 0.0000 0.0000 [2 per cell]
Rh2 0.5000 0.0000 0.2036 [2 per cell]
Br1 0.0000 0.0000 0.4234 [2 per cell]
Cl1 0.5000 0.0000 0.7645 [2 per cell]

E_tot: -4.402 eV/atom
V: 19.1 Å³ per atom
Crystal system: orthorhombic
Magnetization: 0.00 μB per cell
ΔE to the lowest computed polymorph: 0.75 eV/f.u.

***

(4)
Compound: RhBr2Cl
Source: the Alexandria database
Functional: PBE
Structure: optimized geometry

Cell lengths 7.5191, 7.5191, 7.2495 Å; angles 90.00, 90.00, 90.00 degrees
Space group I-42d (No. 122)
One atom of each set of equivalent atoms:
Rh1 0.0000 0.0000 0.0000 [4 per cell]
Br1 0.1642 0.2500 0.1250 [8 per cell]
Cl1 0.0000 0.0000 0.5000 [4 per cell]

E_tot: -2.966 eV/atom
V: 25.6 Å³ per atom
Crystal system: tetragonal
Magnetization: 0.00 μB per cell
ΔE to the lowest computed polymorph: 2.04 eV/f.u.

***

(5)
Compound: RhBr2Cl
Source: the Alexandria database
Functional: PBE
Structure: optimized geometry

Cell lengths 3.5818, 5.0700, 12.6971 Å; angles 90.00, 90.00, 90.00 degrees
Space group Amm2 (No. 38)
One atom of each set of equivalent atoms:
Rh1 0.0000 0.0000 0.0000 [2 per cell]
Br1 0.0000 0.0000 0.5293 [2 per cell]
Br2 0.5000 0.0000 0.1370 [2 per cell]
Cl1 0.5000 0.0000 0.8759 [2 per cell]

E_tot: -3.465 eV/atom
V: 28.8 Å³ per atom
Crystal system: orthorhombic
Magnetization: 0.00 μB per cell
ΔE to the lowest computed polymorph: 0.04 eV/f.u.

***

(6)
Compound: RhBr2Cl
Source: the Alexandria database
Functional: PBE
Structure: optimized geometry

Cell lengths 3.2317, 4.7715, 13.3551 Å; angles 90.00, 90.00, 90.00 degrees
Space group Immm (No. 71)
One atom of each set of equivalent atoms:
Rh1 0.0000 0.0000 0.0000 [2 per cell]
Br1 0.0000 0.5000 0.3522 [4 per cell]
Cl1 0.0000 0.0000 0.5000 [2 per cell]

E_tot: -3.057 eV/atom
V: 25.7 Å³ per atom
Crystal system: orthorhombic
Magnetization: 0.00 μB per cell
ΔE to the lowest computed polymorph: 1.67 eV/f.u.

***

> Look up the V of the third one.

19.1 Å³ per atom

***

> What is the magnetization in the first record?

0.01 μB per cell

***

Please write out number 4 again, unchanged.
Compound: RhBr2Cl
Source: the Alexandria database
Functional: PBE
Structure: optimized geometry

Cell lengths 7.5191, 7.5191, 7.2495 Å; angles 90.00, 90.00, 90.00 degrees
Space group I-42d (No. 122)
One atom of each set of equivalent atoms:
Rh1 0.0000 0.0000 0.0000 [4 per cell]
Br1 0.1642 0.2500 0.1250 [8 per cell]
Cl1 0.0000 0.0000 0.5000 [4 per cell]

E_tot: -2.966 eV/atom
V: 25.6 Å³ per atom
Crystal system: tetragonal
Magnetization: 0.00 μB per cell
ΔE to the lowest computed polymorph: 2.04 eV/f.u.